Material: LiScPd3
Method: DFT, PBE-GGA
State: optimized geometry

The calculation puts the density of states at the Fermi level at 0.57 states/eV per atom. As for the crystal system: monoclinic. Its excess energy over the best structure of this formula in the dataset is 30.6 meV per atom. For the spin magnetization, the calculation gives 0.00 μB/cell.

Cell lengths 14.0668, 5.0025, 9.5230 Å; angles 90.00, 107.82, 90.00 degrees
With the nearest neighbours (Å) after each atom.
Space group C2/c (No. 15)
Symmetry-distinct sites (fractional):
1 Li 0.1400 0.2468 0.0266 x8  7 Pd 2.63-2.83
2 Sc 0.0000 0.4524 0.7500 x4  10 Pd 2.72-2.87, 2 Li 2.95
3 Sc 0.2500 0.2500 0.5000 x4  8 Pd 2.70-2.91, 4 Li 2.98-3.01
4 Pd 0.0517 0.2498 0.5004 x8  3 Li 2.63-2.78, 3 Sc 2.72-2.87, 6 Pd 2.78-2.93
5 Pd 0.1023 0.0474 0.2607 x8  2 Li 2.64-2.83, 6 Pd 2.75-2.93, 3 Sc 2.76-2.87
6 Pd 0.2026 0.4250 0.7625 x8  2 Li 2.64-2.70, 3 Sc 2.70-2.91, 5 Pd 2.75-2.88